Record 1
# PBE TaAgHg2, optimized geometry
# - DFT formation energy: 44.9 kJ/mol of atoms
data_TaAgHg2
_symmetry_space_group_name_H-M 'P 1'
_symmetry_Int_Tables_number 1
_symmetry_space_group_name_Hall 'P 1'
_cell_length_a 4.511
_cell_length_b 4.520
_cell_length_c 3.857
_cell_angle_alpha 90.00
_cell_angle_beta 90.00
_cell_angle_gamma 90.00
loop_
_atom_site_label
_atom_site_type_symbol
_atom_site_fract_x
_atom_site_fract_y
_atom_site_fract_z
Hg1 Hg 0.000 0.000 0.000
Hg2 Hg 0.500 0.500 0.000
Ag1 Ag 0.000 0.500 0.500
Ta1 Ta 0.500 0.000 0.500

---

Record 2
# PBE CeSi2Sn, optimized geometry
# - Final energy: -5.549 eV/atom
data_CeSi2Sn
_symmetry_space_group_name_H-M 'P 1'
_symmetry_Int_Tables_number 1
_symmetry_space_group_name_Hall 'P 1'
_cell_length_a 4.132
_cell_length_b 4.476
_cell_length_c 4.476
_cell_angle_alpha 90.00
_cell_angle_beta 90.00
_cell_angle_gamma 90.00
loop_
_atom_site_label
_atom_site_type_symbol
_atom_site_fract_x
_atom_site_fract_y
_atom_site_fract_z
Si1 Si 0.000 0.000 0.500
Si2 Si 0.000 0.500 0.000
Sn1 Sn 0.500 0.500 0.500
Ce1 Ce 0.500 0.000 0.000

---

Record 3
# PBE Sr2SnSbAu6, optimized geometry
# - Final energy: -3.369 eV/atom
data_Sr2SnSbAu6
_symmetry_space_group_name_H-M 'P 1'
_symmetry_Int_Tables_number 1
_symmetry_space_group_name_Hall 'P 1'
_cell_length_a 7.463
_cell_length_b 7.463
_cell_length_c 7.463
_cell_angle_alpha 60.00
_cell_angle_beta 60.00
_cell_angle_gamma 90.00
loop_
_atom_site_label
_atom_site_type_symbol
_atom_site_fract_x
_atom_site_fract_y
_atom_site_fract_z
Sr1 Sr 0.250 0.750 0.500
Sr2 Sr 0.750 0.250 0.500
Sn1 Sn 0.500 0.500 0.000
Sb1 Sb 0.000 0.000 0.000
Au1 Au 0.250 0.750 0.000
Au2 Au 0.750 0.750 0.000
Au3 Au 0.250 0.250 0.499
Au4 Au 0.750 0.250 0.000
Au5 Au 0.250 0.250 0.000
Au6 Au 0.750 0.750 0.501